[1]
La2BeAg2 after structural relaxation, computed with PBE.

Cell lengths 6.828, 6.828, 5.099 Å; angles 90.00, 90.00, 90.00 degrees
Space group P4/mbm (No. 127)
Symmetry-distinct sites (fractional):
La (0.169, 0.331, 0.000) [4 per cell]
Be (0.000, 0.000, 0.500) [2 per cell]
Ag (0.149, 0.649, 0.500) [4 per cell]

Results
- ρ (g/cm³) = 7.02
- calculated volume (Å³/cell) = 237.8

***

[2]
LaBeAg2 after structural relaxation, computed with PBE.

Cell lengths 3.317, 3.317, 7.242 Å; angles 90.00, 90.00, 90.00 degrees
Space group P4mm (No. 99)
Symmetry-distinct sites (fractional):
La (0.000, 0.000, 0.000) [1 per cell]
Be (0.500, 0.500, 0.696) [1 per cell]
Ag (0.000, 0.000, 0.561) [1 per cell]
Ag (0.500, 0.500, 0.323) [1 per cell]

Results
- ρ (g/cm³) = 7.58
- calculated volume (Å³/cell) = 79.7

***

[3]
LaBeAg2 after structural relaxation, computed with PBE.

Cell lengths 4.192, 3.491, 11.682 Å; angles 90.00, 90.00, 90.00 degrees
Space group Amm2 (No. 38)
Symmetry-distinct sites (fractional):
La (0.000, 0.000, 0.000) [2 per cell]
Be (0.500, 0.000, 0.359) [2 per cell]
Ag (0.000, 0.000, 0.270) [2 per cell]
Ag (0.500, 0.000, 0.691) [2 per cell]

Results
- ρ (g/cm³) = 7.07
- calculated volume (Å³/cell) = 170.9

***

[4]
LaBe2Ag after structural relaxation, computed with PBE.

Cell lengths 4.122, 5.357, 7.117 Å; angles 90.00, 90.00, 90.00 degrees
Space group Imm2 (No. 44)
Symmetry-distinct sites (fractional):
La (0.000, 0.000, 0.000) [2 per cell]
Be (0.000, 0.000, 0.571) [2 per cell]
Be (0.000, 0.500, 0.172) [2 per cell]
Ag (0.000, 0.500, 0.818) [2 per cell]

Results
- ρ (g/cm³) = 5.60
- calculated volume (Å³/cell) = 157.1

***

[5]
LaBeAg2 after structural relaxation, computed with PBE.

Cell lengths 7.635, 4.394, 5.766 Å; angles 90.00, 115.98, 90.00 degrees
Space group Cm (No. 8)
Symmetry-distinct sites (fractional):
La (0.000, 0.000, 0.000) [2 per cell]
Be (0.203, 0.000, 0.604) [2 per cell]
Ag (0.038, 0.500, 0.611) [2 per cell]
Ag (0.297, 0.500, 0.388) [2 per cell]

Results
- ρ (g/cm³) = 6.95
- calculated volume (Å³/cell) = 173.9

***

[6]
LaBe2Ag after structural relaxation, computed with PBE.

Cell lengths 4.488, 4.488, 16.536 Å; angles 90.00, 90.00, 90.00 degrees
Space group I4_1/amd (No. 141, origin choice 2)
Symmetry-distinct sites (fractional):
La (0.000, 0.250, 0.375) [4 per cell]
Be (0.000, 0.000, 0.000) [8 per cell]
Ag (0.000, 0.250, 0.875) [4 per cell]

Results
- ρ (g/cm³) = 5.28
- calculated volume (Å³/cell) = 333.1

***

[7]
LaBe2Ag after structural relaxation, computed with PBE.

Cell lengths 2.989, 2.989, 7.493 Å; angles 90.00, 90.00, 90.00 degrees
Space group P4mm (No. 99)
Symmetry-distinct sites (fractional):
La (0.000, 0.000, 0.000) [1 per cell]
Be (0.000, 0.000, 0.557) [1 per cell]
Be (0.500, 0.500, 0.696) [1 per cell]
Ag (0.500, 0.500, 0.359) [1 per cell]

Results
- ρ (g/cm³) = 6.57
- calculated volume (Å³/cell) = 66.9

***

[8]
La3BeAg after structural relaxation, computed with PBE.

Cell lengths 5.446, 5.446, 5.446 Å; angles 90.00, 90.00, 90.00 degrees
Space group Pm-3m (No. 221)
Symmetry-distinct sites (fractional):
La (0.000, 0.000, 0.500) [3 per cell]
Be (0.000, 0.000, 0.000) [1 per cell]
Ag (0.500, 0.500, 0.500) [1 per cell]

Results
- ρ (g/cm³) = 5.49
- calculated volume (Å³/cell) = 161.5

***

Number 1: DOS(E_F) 3.59 states/eV/f.u., energy relative to the elements 0.018 eV per atom. Number 2: DOS(E_F) 2.93 states/eV/f.u., energy relative to the elements 0.062 eV per atom. Number 3: DOS(E_F) 2.78 states/eV/f.u., energy relative to the elements 0.069 eV per atom. Number 4: DOS(E_F) 1.77 states/eV/f.u., energy relative to the elements 0.240 eV per atom. Number 5: DOS(E_F) 2.95 states/eV/f.u., energy relative to the elements 0.001 eV per atom. Number 6: DOS(E_F) 4.67 states/eV/f.u., energy relative to the elements 0.214 eV per atom. Number 7: DOS(E_F) 1.80 states/eV/f.u., energy relative to the elements 0.224 eV per atom. Number 8: DOS(E_F) 14.31 states/eV/f.u., energy relative to the elements 0.336 eV per atom.